A plane-wave DFT calculation with PBE+U was carried out for a relaxed LaCrIrO2 crystal.

Cell and atoms, written as CIF:
```
data_LaCrIrO2
_chemical_formula_sum 'La1 Cr1 Ir1 O2'
_cell_length_a 3.771
_cell_length_b 3.771
_cell_length_c 7.721
_cell_angle_alpha 90.00
_cell_angle_beta 90.00
_cell_angle_gamma 90.00
_space_group_name_H-M_alt 'P 4/m m m'
_space_group_IT_number 123
_space_group_name_Hall '-P 4 2'
loop_
_atom_site_label
_atom_site_type_symbol
_atom_site_fract_x
_atom_site_fract_y
_atom_site_fract_z
La1 La 0.000 0.000 0.000
Cr1 Cr 0.000 0.000 0.500
Ir1 Ir 0.500 0.500 0.000
O1 O 0.000 0.500 0.500
```

Computed properties:
theoretical density: 6.3 g/cm3
Fermi-level density of states: 2.9 states/eV/f.u.
energy: -6.5029 eV/atom